[1]
AcSmAgAu | PBE | optimized geometry

Summary:
D(E_F) = 3.4 states/eV/cell
ΔH_f (0 K) = -490.7 meV per atom
space-group type = No. 216
E above lowest polymorph = 0.024 eV/atom

Unit cell a=5.4020 b=5.4020 c=5.4020 alpha=60.00 beta=60.00 gamma=60.00
Fractional coordinates of all 4 atoms:
Ac 0.0000 0.0000 0.0000
Au 0.7500 0.7500 0.7500
Ag 0.2500 0.2500 0.2500
Sm 0.5000 0.5000 0.5000


[2]
CsRe2Ag2 | PBE | optimized geometry

Summary:
D(E_F) = 6.4 states/eV/cell
ΔH_f (0 K) = 967.3 meV per atom
space-group type = No. 139

Unit cell a=3.5952 b=3.5952 c=10.1120 alpha=79.76 beta=79.76 gamma=90.00
Fractional coordinates of all 5 atoms:
Cs 0.0000 0.0000 0.0000
Re 0.7500 0.2500 0.5000
Re 0.2500 0.7500 0.5000
Ag 0.3637 0.3637 0.2727
Ag 0.6363 0.6363 0.7273


[3]
NaMnSi2Pb | PBE | optimized geometry

Summary:
energy = -18.6 eV/cell
D(E_F) = 3.2 states/eV/cell
space-group type = No. 123

Unit cell a=5.0131 b=5.0131 c=4.8994 alpha=90.00 beta=90.00 gamma=90.00
Each line ends with the local moment (μB).
Fractional coordinates of all 5 atoms:
Pb 0.5000 0.5000 0.5000  -0.02
Na 0.0000 0.0000 0.0000  0.00
Si 0.0000 0.5000 0.0000  -0.04
Si 0.5000 0.0000 0.0000  -0.04
Mn 0.0000 0.0000 0.5000  4.13


[4]
YMnCl2 | PBE | optimized geometry

Summary:
D(E_F) = 1.8 states/eV/cell
space-group type = No. 166
E above lowest polymorph = 0.153 eV/atom

Unit cell a=9.3454 b=9.3454 c=9.3454 alpha=21.34 beta=21.34 gamma=21.34
Each line ends with the local moment (μB).
Fractional coordinates of all 4 atoms:
Y 0.5000 0.5000 0.5000  -0.12
Mn 0.0000 0.0000 0.0000  4.17
Cl 0.9033 0.9033 0.9033  0.00
Cl 0.0967 0.0967 0.0967  0.00


[5]
Sn2Ru3S2 | PBE | optimized geometry

Summary:
energy = -45.8 eV/cell
D(E_F) = 8.6 states/eV/cell
space-group type = No. 166

Unit cell a=5.6792 b=5.6792 c=5.5654 alpha=59.32 beta=59.32 gamma=60.00
Each line ends with the local moment (μB).
Fractional coordinates of all 7 atoms:
Sn 0.5000 0.5000 0.5000  0.00
Sn 0.0000 0.0000 0.0000  0.01
Ru 0.5000 0.0000 0.0000  0.26
Ru 0.5000 0.5000 0.0000  0.26
Ru 0.0000 0.5000 0.0000  0.26
S 0.2118 0.2118 0.3645  0.01
S 0.7882 0.7882 0.6355  0.01


[6]
TbCdAgPd | PBE | optimized geometry

Summary:
D(E_F) = 2.6 states/eV/cell
ΔH_f (0 K) = -483.7 meV per atom
space-group type = No. 216

Unit cell a=4.8868 b=4.8868 c=4.8868 alpha=60.00 beta=60.00 gamma=60.00
Fractional coordinates of all 4 atoms:
Tb 0.2500 0.2500 0.2500
Pd 0.0000 0.0000 0.0000
Ag 0.5000 0.5000 0.5000
Cd 0.7500 0.7500 0.7500


[7]
Te2RhBr | PBE | optimized geometry

Summary:
energy = -62.5 eV/cell
D(E_F) = 14.5 states/eV/cell
space-group type = No. 62

Unit cell a=7.9366 b=3.5460 c=14.4261 alpha=90.00 beta=90.00 gamma=90.00
Fractional coordinates of all 16 atoms:
Te 0.8242 0.2500 0.4805
Te 0.6758 0.7500 0.9805
Te 0.1758 0.7500 0.5195
Te 0.3242 0.2500 0.0195
Te 0.2747 0.2500 0.7559
Te 0.2253 0.7500 0.2559
Te 0.7253 0.7500 0.2441
Te 0.7747 0.2500 0.7441
Rh 0.0366 0.2500 0.6253
Rh 0.4634 0.7500 0.1253
Rh 0.9634 0.7500 0.3747
Rh 0.5366 0.2500 0.8747
Br 0.4598 0.2500 0.3840
Br 0.0402 0.7500 0.8840
Br 0.5402 0.7500 0.6160
Br 0.9598 0.2500 0.1160


[8]
TbSmZnAu | PBE | optimized geometry

Summary:
D(E_F) = 2.2 states/eV/cell
ΔH_f (0 K) = -564.5 meV per atom
space-group type = No. 216
E above lowest polymorph = 0.016 eV/atom

Unit cell a=5.1390 b=5.1390 c=5.1390 alpha=60.00 beta=60.00 gamma=60.00
Fractional coordinates of all 4 atoms:
Tb 0.7500 0.7500 0.7500
Zn 0.5000 0.5000 0.5000
Au 0.0000 0.0000 0.0000
Sm 0.2500 0.2500 0.2500


[9]
BaCaMgAl | PBE | optimized geometry

Summary:
D(E_F) = 3.4 states/eV/cell
ΔH_f (0 K) = -79.4 meV per atom
space-group type = No. 216

Unit cell a=5.7019 b=5.7019 c=5.7019 alpha=60.00 beta=60.00 gamma=60.00
Fractional coordinates of all 4 atoms:
Mg 0.0000 0.0000 0.0000
Ca 0.2500 0.2500 0.2500
Ba 0.7500 0.7500 0.7500
Al 0.5000 0.5000 0.5000


[10]
TmLu2In | PBE | optimized geometry

Summary:
D(E_F) = 4.0 states/eV/cell
ΔH_f (0 K) = -251.3 meV per atom
space-group type = No. 123
E above lowest polymorph = 0.000 eV/atom

Unit cell a=4.7598 b=4.7577 c=4.7577 alpha=90.00 beta=90.00 gamma=90.00
Fractional coordinates of all 4 atoms:
Lu 0.0000 0.0000 0.5000
Lu 0.0000 0.5000 0.0000
Tm 0.5000 0.5000 0.5000
In 0.5000 0.0000 0.0000


[11]
FeTe2Os | PBE | optimized geometry

Summary:
D(E_F) = 2.8 states/eV/cell
space-group type = No. 225
E above lowest polymorph = 0.458 eV/atom

Unit cell a=4.6803 b=4.6803 c=4.6803 alpha=60.00 beta=60.00 gamma=60.00
Each line ends with the local moment (μB).
Fractional coordinates of all 4 atoms:
Te 0.2500 0.2500 0.2500  0.00
Te 0.7500 0.7500 0.7500  0.00
Os 0.5000 0.5000 0.5000  0.15
Fe 0.0000 0.0000 0.0000  2.54


[12]
LaNd7Sm2 | PBE | optimized geometry

Summary:
D(E_F) = 14.8 states/eV/cell
ΔH_f (0 K) = 615.8 meV per atom
space-group type = No. 65
E above lowest polymorph = 0.541 eV/atom

Unit cell a=5.7206 b=9.3625 c=9.3625 alpha=122.86 beta=90.00 gamma=90.00
Fractional coordinates of all 10 atoms:
La 0.0000 0.0000 0.0000
Nd 0.0000 0.7717 0.2283
Nd 0.0000 0.2283 0.7717
Nd 0.5000 0.0639 0.2958
Nd 0.5000 0.9361 0.7042
Nd 0.5000 0.2958 0.0639
Nd 0.5000 0.7042 0.9361
Nd 0.5000 0.5000 0.5000
Sm 0.5000 0.7028 0.2972
Sm 0.5000 0.2972 0.7028


D(E_F) of number 1 (AcSmAgAu)? 3.4 states/eV/cell